Version i
Ca2GeCl (PBE, optimized geometry); crystal system = trigonal; spin magnetization = 0.0 μB per formula unit; DOS(E_F) = 1.64 states/eV/f.u.
1.0
4.064 0.000 0.000
2.032 3.520 0.000
2.032 1.173 7.727
Ge Cl Ca
1 1 2
direct
0.668 0.668 0.997
0.496 0.496 0.512
0.078 0.078 0.767
0.259 0.259 0.224

Version ii
Ca2GeCl (PBE, optimized geometry); crystal system = cubic; spin magnetization = 1.0 μB per formula unit; DOS(E_F) = 5.39 states/eV/f.u.
1.0
0.000 3.695 3.695
3.695 0.000 3.695
3.695 3.695 0.000
Ca Cl Ge
2 1 1
direct
0.250 0.250 0.250
0.750 0.750 0.750
0.000 0.000 0.000
0.500 0.500 0.500

Stability, highest: version i

Version i
Ca2GeCl (PBE, optimized geometry); crystal system = tetragonal; spin magnetization = 1.0 μB per formula unit; DOS(E_F) = 0.12 states/eV/f.u.
1.0
7.545 0.000 0.000
0.000 7.545 0.000
3.773 3.773 4.162
Cl Ca Ge
2 4 2
direct
0.250 0.750 0.500
0.500 0.500 0.000
0.375 0.387 0.750
0.137 0.625 0.250
0.875 0.863 0.750
0.613 0.125 0.250
0.750 0.250 0.500
0.000 0.000 0.000

Version ii
Ca2GeCl (PBE, optimized geometry); crystal system = trigonal; spin magnetization = 0.0 μB per formula unit; DOS(E_F) = 1.58 states/eV/f.u.
1.0
4.122 0.000 0.000
2.061 3.570 0.000
2.061 1.190 7.378
Ca Cl Ge
2 1 1
direct
0.745 0.745 0.765
0.255 0.255 0.235
0.500 0.500 0.500
0.000 0.000 0.000

Stability, highest: version ii

Version i
CaGeCl2O (PBE, optimized geometry); crystal system = tetragonal; spin magnetization = 0.2 μB per formula unit; DOS(E_F) = 1.44 states/eV/f.u.
1.0
-1.232 -3.979 3.395
1.255 -2.591 -2.581
4.931 0.279 2.117
Cl Ca O Ge
2 1 1 1
direct
0.000 0.000 0.500
0.500 0.000 0.000
0.500 0.500 0.500
0.000 0.500 0.000
0.000 0.000 0.000

Version ii
CaGeCl2O (PBE, optimized geometry); crystal system = tetragonal; spin magnetization = 0.0 μB per formula unit; DOS(E_F) = 2.10 states/eV/f.u.
1.0
5.292 0.000 0.000
0.000 4.222 0.000
0.000 0.000 5.292
Ge Cl Ca O
1 2 1 1
direct
0.500 0.500 0.500
0.500 0.000 0.000
0.000 0.000 0.500
0.000 0.000 0.000
0.000 0.500 0.000

Stability, highest: version i

Version i
CaGePCl2 (PBE, optimized geometry); crystal system = tetragonal; spin magnetization = 1.0 μB per formula unit; DOS(E_F) = 2.07 states/eV/f.u.
1.0
-1.573 4.640 -1.180
-3.679 -1.966 -2.828
-3.611 -0.025 4.714
Cl Ca Ge P
2 1 1 1
direct
0.500 0.000 0.000
0.000 0.500 0.000
0.000 0.000 0.000
0.500 0.500 0.500
0.000 0.000 0.500

Version ii
CaGePCl2 (PBE, optimized geometry); crystal system = tetragonal; spin magnetization = 0.0 μB per formula unit; DOS(E_F) = 1.09 states/eV/f.u.
1.0
5.023 0.000 0.000
0.000 5.023 0.000
0.000 0.000 4.867
Ca Ge Cl P
1 1 2 1
direct
0.500 0.500 0.500
0.000 0.000 0.000
0.500 0.000 0.000
0.000 0.500 0.000
0.000 0.000 0.500

Stability, highest: version ii

Version i
CaGeSCl2 (PBE, optimized geometry); crystal system = tetragonal; spin magnetization = 0.0 μB per formula unit; DOS(E_F) = 0.29 states/eV/f.u.
1.0
4.977 0.000 0.000
0.000 4.977 0.000
0.000 0.000 5.210
Cl S Ge Ca
2 1 1 1
direct
0.500 0.000 0.000
0.000 0.500 0.000
0.000 0.000 0.500
0.000 0.000 0.000
0.500 0.500 0.500

Version ii
CaGeSCl2 (PBE, optimized geometry); crystal system = tetragonal; spin magnetization = 0.0 μB per formula unit
1.0
-0.711 -2.473 4.367
4.938 -1.128 0.165
0.981 4.704 2.823
Cl S Ca Ge
2 1 1 1
direct
0.000 0.500 0.000
0.500 0.000 0.000
0.000 0.000 0.500
0.000 0.000 0.000
0.500 0.500 0.500

Stability, highest: version i

Version i
Ca2HCl (PBE, optimized geometry); crystal system = cubic; spin magnetization = 0.0 μB per formula unit; DOS(E_F) = 2.18 states/eV/f.u.
1.0
3.701 0.637 3.355
0.353 4.316 2.571
-1.053 0.091 4.924
Ca Cl H
2 1 1
direct
0.750 0.750 0.750
0.250 0.250 0.250
0.500 0.500 0.500
0.000 0.000 0.000

Version ii
Ca2HCl (PBE, optimized geometry); crystal system = trigonal; spin magnetization = 0.0 μB per formula unit; DOS(E_F) = 1.70 states/eV/f.u.
1.0
3.762 0.000 0.000
1.881 3.258 0.000
1.881 1.086 7.048
H Ca Cl
1 2 1
direct
0.000 0.000 0.000
0.267 0.267 0.198
0.733 0.733 0.802
0.500 0.500 0.500

Version iii
Ca2HCl (PBE, optimized geometry); crystal system = tetragonal; spin magnetization = 1.9 μB per formula unit; DOS(E_F) = 2.34 states/eV/f.u.
1.0
-0.349 2.495 -5.533
-5.889 -1.484 -0.298
-4.484 5.459 -0.596
Ca Cl H
4 2 2
direct
0.375 0.429 0.750
0.571 0.125 0.250
0.179 0.625 0.250
0.875 0.821 0.750
0.750 0.250 0.500
0.000 0.000 0.000
0.500 0.500 0.000
0.250 0.750 0.500

Stability, highest: version ii